Record 1
# GGA-PBE TaOsSe, optimized geometry
data_TaOsSe
_chemical_formula_sum 'Ta4 Os4 Se4'
_symmetry_space_group_name_H-M 'F -4 3 m'
_symmetry_Int_Tables_number 216
_symmetry_space_group_name_Hall 'F -4 2 3'
_cell_length_a 6.147
_cell_length_b 6.147
_cell_length_c 6.147
_cell_angle_alpha 90.00
_cell_angle_beta 90.00
_cell_angle_gamma 90.00
loop_
_atom_site_label
_atom_site_fract_x
_atom_site_fract_y
_atom_site_fract_z
_atom_site_occupancy
Ta1 0.000 0.000 0.000 1
Os1 0.250 0.250 0.750 1
Se1 0.250 0.250 0.250 1
# Excess energy over the best structure of this formula in the dataset   36.04 kJ/mol of atoms
# Raw formation energy   9.82 kcal/mol of atoms
# Energy   -8.430 eV per atom
# Total magnetization   0.0 Bohr magnetons per cell

=====

Record 2
# GGA-PBE TaOsSe6, optimized geometry
data_TaOsSe6
_chemical_formula_sum 'Ta1 Os1 Se6'
_symmetry_space_group_name_H-M 'P -1'
_symmetry_Int_Tables_number 2
_symmetry_space_group_name_Hall '-P 1'
_cell_length_a 6.022
_cell_length_b 6.211
_cell_length_c 6.293
_cell_angle_alpha 68.39
_cell_angle_beta 62.84
_cell_angle_gamma 62.46
loop_
_atom_site_label
_atom_site_fract_x
_atom_site_fract_y
_atom_site_fract_z
_atom_site_occupancy
Ta1 0.000 0.000 0.000 1
Os1 0.500 0.500 0.500 1
Se1 0.046 0.746 0.745 1
Se2 0.313 0.582 0.186 1
Se3 0.412 0.106 0.678 1
# Raw formation energy   -3.59 kcal/mol of atoms
# Energy   -5.654 eV per atom
# Total magnetization   0.0 Bohr magnetons per cell

=====

Record 3
# GGA-PBE TaOs4Se, optimized geometry
data_TaOs4Se
_chemical_formula_sum 'Ta4 Os16 Se4'
_symmetry_space_group_name_H-M 'F -4 3 m'
_symmetry_Int_Tables_number 216
_symmetry_space_group_name_Hall 'F -4 2 3'
_cell_length_a 7.340
_cell_length_b 7.340
_cell_length_c 7.340
_cell_angle_alpha 90.00
_cell_angle_beta 90.00
_cell_angle_gamma 90.00
loop_
_atom_site_label
_atom_site_fract_x
_atom_site_fract_y
_atom_site_fract_z
_atom_site_occupancy
Ta1 0.000 0.000 0.000 1
Os1 0.125 0.125 0.625 1
Se1 0.250 0.250 0.250 1
# Raw formation energy   16.48 kcal/mol of atoms
# Energy   -9.328 eV per atom
# Total magnetization   0.0 Bohr magnetons per cell

=====

Record 4
# GGA-PBE TaOsSe, optimized geometry
data_TaOsSe
_chemical_formula_sum 'Ta4 Os4 Se4'
_symmetry_space_group_name_H-M 'F -4 3 m'
_symmetry_Int_Tables_number 216
_symmetry_space_group_name_Hall 'F -4 2 3'
_cell_length_a 6.110
_cell_length_b 6.110
_cell_length_c 6.110
_cell_angle_alpha 90.00
_cell_angle_beta 90.00
_cell_angle_gamma 90.00
loop_
_atom_site_label
_atom_site_fract_x
_atom_site_fract_y
_atom_site_fract_z
_atom_site_occupancy
Ta1 0.000 0.000 0.000 1
Os1 0.250 0.250 0.250 1
Se1 0.000 0.000 0.500 1
# Excess energy over the best structure of this formula in the dataset   8.48 kJ/mol of atoms
# Raw formation energy   3.23 kcal/mol of atoms
# Energy   -8.716 eV per atom
# Total magnetization   0.0 Bohr magnetons per cell